Record 1
This record from the Alexandria database describes crystalline BaSrAsAu at its relaxed geometry. The functional is PBE.

Summary:
E_tot, eV for the cell shown: -15.31
Total magnetic moment, μB per formula unit: 0.000
Space-group type: F-43m, No. 216

```
4
Lattice="5.564 0.000 0.000 2.782 4.818 0.000 2.782 1.606 4.543" Properties=species:S:1:pos:R:3 pbc="T T T"
Au 0.000 0.000 0.000
Ba 8.346 4.818 3.407
Sr 2.782 1.606 1.136
As 5.564 3.212 2.271
```

=====

Record 2
This record from the Alexandria database describes crystalline BaTe2As2Au6 at its relaxed geometry. The functional is PBE.

Summary:
Energy relative to the elements, uncorrected, meV/atom: -200.8
Total magnetic moment, μB per formula unit: 0.000
Space-group type: P-1, No. 2

```
11
Lattice="-2.953 -0.617 -4.102 2.426 -16.713 -9.372 -6.615 9.970 5.029" Properties=species:S:1:pos:R:3 pbc="T T T"
Au -0.306 -8.008 -5.479
Au -4.921 2.614 -2.207
Au -6.837 0.649 -2.966
Au -2.221 -9.973 -6.238
Au -0.983 -2.931 -3.041
Au -6.159 -4.428 -5.404
As -3.639 -7.667 -7.263
As -3.504 0.308 -1.182
Te -4.799 -2.267 -4.407
Te -2.344 -5.092 -4.038
Ba -4.784 4.677 0.463
```

=====

Record 3
This record from the Alexandria database describes crystalline BaTlAs2Au4 at its relaxed geometry. The functional is PBE.

Summary:
E_tot, eV for the cell shown: -28.96
Total magnetic moment, μB per formula unit: 0.000
Space-group type: P4/mmm, No. 123

```
8
Lattice="4.669 0.000 0.000 0.000 4.669 0.000 0.000 0.000 9.322" Properties=species:S:1:pos:R:3 pbc="T T T"
Ba 0.000 0.000 4.661
Au 0.000 2.334 7.406
Au 0.000 2.334 1.916
Au 2.334 0.000 1.916
Au 2.334 0.000 7.406
Tl 0.000 0.000 0.000
As 2.334 2.334 2.990
As 2.334 2.334 6.331
```

=====

Record 4
This record from the Alexandria database describes crystalline BaVAs2Au at its relaxed geometry. The functional is PBE.

Summary:
E_tot, eV for the cell shown: -26.11
Total magnetic moment, μB per formula unit: 0.000
Space-group type: P4/mmm, No. 123

```
5
Lattice="-4.684 -0.733 0.877 0.329 -4.408 -1.925 1.189 -1.966 4.706" Properties=species:S:1:pos:R:3 pbc="T T T"
As -2.342 -0.366 0.439
As 0.164 -2.204 -0.962
Ba -1.583 -3.553 1.829
Au 0.594 -0.983 2.353
V 0.000 0.000 0.000
```

=====

Record 5
This record from the Alexandria database describes crystalline BaVAs2Au at its relaxed geometry. The functional is PBE.

Summary:
E_tot, eV for the cell shown: -24.01
Total magnetic moment, μB per formula unit: 1.675
Space-group type: P4/mmm, No. 123

```
5
Lattice="-1.627 4.421 0.320 -5.351 -1.718 -3.477 -2.243 -1.115 4.003" Properties=species:S:1:pos:R:3 pbc="T T T"
As -1.122 -0.558 2.001
As -0.814 2.211 0.160
V 0.000 0.000 0.000
Au -4.611 0.794 0.423
Ba -2.675 -0.859 -1.739
```

=====

Record 6
This record from the Alexandria database describes crystalline BeAs3Au at its relaxed geometry. The functional is PBE.

Summary:
E_tot, eV for the cell shown: -18.21
Total magnetic moment, μB per formula unit: 0.000
Space-group type: Pm-3m, No. 221

```
5
Lattice="4.500 0.000 0.000 0.000 4.500 0.000 0.000 0.000 4.500" Properties=species:S:1:pos:R:3 pbc="T T T"
Be 0.000 0.000 0.000
As 2.250 0.000 0.000
As 0.000 2.250 0.000
As 0.000 0.000 2.250
Au 2.250 2.250 2.250
```

=====

Record 7
This record from the Alexandria database describes crystalline BeAsAu2 at its relaxed geometry. The functional is PBE.

Summary:
E_tot, eV for the cell shown: -14.43
Total magnetic moment, μB per formula unit: 0.000
Space-group type: R3m, No. 160

```
4
Lattice="-3.651 -3.168 7.051 -5.043 -4.794 4.966 -2.361 -5.639 5.975" Properties=species:S:1:pos:R:3 pbc="T T T"
Au -2.599 -3.198 4.230
Au -11.048 -13.593 17.982
As -8.455 -10.403 13.762
Be -5.533 -6.808 9.006
```

=====

Record 8
This record from the Alexandria database describes crystalline BeAsAu2 at its relaxed geometry. The functional is PBE.

Summary:
E_tot, eV for the cell shown: -14.27
Total magnetic moment, μB per formula unit: 0.000
Space-group type: Pmm2, No. 25

```
4
Lattice="-2.695 -1.293 -0.266 1.600 -3.282 -0.261 -0.298 -0.627 6.059" Properties=species:S:1:pos:R:3 pbc="T T T"
Au -0.003 -0.007 0.065
Au -0.642 -2.486 1.654
Be -0.125 -0.264 2.549
As -0.771 -2.759 4.293
```